1.
An optimized crystal structure of InReO3, computed with PBE.

Properties
Crystal system = orthorhombic
Electronic total energy = -140.9 eV/cell

Lattice parameters (Å, degrees): 5.6770 5.1464 7.7124 90.00 90.00 90.00
Positions (direct):
1 O 0.1061 0.6030 0.2500
2 O 0.6061 0.8970 0.7500
3 O 0.1930 0.1736 0.9482
4 O 0.6930 0.3264 0.0518
5 O 0.1930 0.1736 0.5518
6 O 0.3070 0.6736 0.5518
7 Re 0.5000 0.0000 0.5000
8 Re 0.0000 0.5000 0.5000
9 Re 0.0000 0.5000 0.0000
10 In 0.9899 0.9520 0.7500
11 In 0.0101 0.0480 0.2500
12 O 0.8070 0.8264 0.0518
13 O 0.3939 0.1030 0.2500
14 In 0.5101 0.4520 0.7500
15 O 0.3070 0.6736 0.9482
16 O 0.8070 0.8264 0.4482
17 O 0.6930 0.3264 0.4482
18 In 0.4899 0.5480 0.2500
19 O 0.8939 0.3970 0.7500
20 Re 0.5000 0.0000 0.0000

---

2.
An optimized crystal structure of ScZnInO3, computed with PBE.

Properties
Crystal system = orthorhombic
Electronic total energy = -73.3 eV/cell

Lattice parameters (Å, degrees): 2.9934 6.0528 8.4244 90.00 79.77 90.00
Positions (direct):
1 Sc 0.0000 0.0000 0.0000
2 Zn 0.3418 0.7500 0.3164
3 In 0.3113 0.2500 0.3774
4 O 0.1260 0.0096 0.7480
5 Zn 0.6582 0.2500 0.6836
6 O 0.1260 0.4904 0.7480
7 In 0.6887 0.7500 0.6226
8 O 0.4987 0.2500 0.0026
9 Sc 0.0000 0.5000 0.0000
10 O 0.8740 0.5096 0.2520
11 O 0.8740 0.9904 0.2520
12 O 0.5013 0.7500 0.9974

---

3.
An optimized crystal structure of ZnIn2Se4O12, computed with PBE.

Properties
Crystal system = monoclinic
Electronic total energy = -200.8 eV/cell

Lattice parameters (Å, degrees): 8.3289 4.7739 15.2434 90.00 111.30 90.00
Positions (direct):
1 O 0.3071 0.3279 0.8426
2 Se 0.2345 0.0670 0.8959
3 O 0.3775 0.7280 0.2164
4 In 0.1600 0.9641 0.2137
5 Se 0.7655 0.5670 0.6041
6 Se 0.3603 0.0089 0.6279
7 O 0.3071 0.1721 0.3426
8 O 0.6225 0.2280 0.2836
9 O 0.1020 0.6345 0.3001
10 Se 0.6397 0.5089 0.8721
11 In 0.8400 0.0359 0.7863
12 O 0.8980 0.3655 0.6999
13 In 0.8400 0.4641 0.2863
14 O 0.2439 0.6702 0.0273
15 Se 0.2346 0.4330 0.3959
16 Zn 0.0000 0.0000 0.5000
17 O 0.7561 0.3298 0.9727
18 O 0.8980 0.1345 0.1999
19 O 0.0516 0.2909 0.4083
20 O 0.9484 0.7091 0.5917
21 Se 0.3603 0.4911 0.1279
22 O 0.7561 0.1702 0.4727
23 O 0.8238 0.7952 0.3771
24 O 0.1762 0.2952 0.1229
25 Se 0.6397 0.9911 0.3721
26 O 0.1762 0.2048 0.6229
27 O 0.6929 0.6721 0.1574
28 O 0.2439 0.8298 0.5273
29 O 0.1020 0.8655 0.8001
30 O 0.8238 0.7048 0.8771
31 In 0.1600 0.5359 0.7137
32 Zn 0.0000 0.5000 0.0000
33 O 0.9484 0.7909 0.0917
34 O 0.3775 0.7720 0.7164
35 O 0.6225 0.2720 0.7836
36 O 0.6929 0.8279 0.6574
37 Se 0.7654 0.9330 0.1041
38 O 0.0516 0.2091 0.9083

---

4.
An optimized crystal structure of SmInO3, computed with PBE.

Properties
Crystal system = orthorhombic
Electronic total energy = -68.8 eV/cell

Lattice parameters (Å, degrees): 5.7981 5.7981 5.7981 120.98 88.12 121.21
Positions (direct):
1 O 0.6154 0.3654 0.2500
2 In 0.5000 0.5000 0.0000
3 O 0.3846 0.6346 0.7500
4 O 0.8300 0.0000 0.3300
5 In 0.0000 0.5000 0.5000
6 Sm 0.2180 0.9680 0.2500
7 O 0.8300 0.5000 0.8300
8 O 0.1700 0.0000 0.6700
9 Sm 0.7820 0.0320 0.7500
10 O 0.1700 0.5000 0.1700

---

5.
An optimized crystal structure of Sm2InO4, computed with PBE.

Properties
Crystal system = cubic
Electronic total energy = -100.2 eV/cell

Lattice parameters (Å, degrees): 6.9270 6.9270 6.9270 120.00 90.01 120.00
Positions (direct):
1 In 0.7500 0.5000 0.2500
2 Sm 0.3750 0.7500 0.1250
3 O 0.1361 0.2722 0.4083
4 O 0.1583 0.7722 0.3861
5 O 0.1361 0.7278 0.8639
6 In 0.0000 0.0000 0.0000
7 O 0.6139 0.7722 0.3861
8 O 0.6139 0.2278 0.3861
9 Sm 0.3750 0.7500 0.6250
10 Sm 0.3750 0.2500 0.6250
11 O 0.6139 0.2278 0.8417
12 Sm 0.8750 0.2500 0.6250
13 O 0.5917 0.7278 0.8639
14 O 0.1361 0.2722 0.8639

---

6.
An optimized crystal structure of SmInO3, computed with PBE.

Properties
Crystal system = tetragonal
Electronic total energy = -67.4 eV/cell

Lattice parameters (Å, degrees): 5.7486 5.7486 5.7486 120.25 120.25 89.57
Positions (direct):
1 O 0.6622 0.8378 0.5000
2 O 0.3378 0.1622 0.5000
3 In 0.0000 0.0000 0.0000
4 O 0.8378 0.3378 0.1756
5 Sm 0.2500 0.7500 0.5000
6 O 0.2500 0.2500 0.0000
7 O 0.7500 0.7500 0.0000
8 In 0.5000 0.5000 0.0000
9 O 0.1622 0.6622 0.8244
10 Sm 0.7500 0.2500 0.5000

---

7.
An optimized crystal structure of Sr2TaInO6, computed with PBE.

Properties
Crystal system = cubic
Electronic total energy = -74.1 eV/cell

Lattice parameters (Å, degrees): 5.7924 5.7924 5.7924 60.00 60.00 60.00
Positions (direct):
1 O 0.2587 0.2587 0.7413
2 In 0.0000 0.0000 0.0000
3 O 0.2587 0.7413 0.2587
4 O 0.7413 0.2587 0.7413
5 Sr 0.7500 0.7500 0.7500
6 Sr 0.2500 0.2500 0.2500
7 O 0.2587 0.7413 0.7413
8 O 0.7413 0.2587 0.2587
9 Ta 0.5000 0.5000 0.5000
10 O 0.7413 0.7413 0.2587

---

8.
An optimized crystal structure of Sr2TaInO6, computed with PBE.

Properties
Crystal system = tetragonal
Electronic total energy = -74.4 eV/cell

Lattice parameters (Å, degrees): 5.7769 5.7769 5.7769 120.67 120.67 88.84
Positions (direct):
1 O 0.7409 0.7409 0.0000
2 In 0.0000 0.0000 0.0000
3 O 0.2591 0.2591 0.0000
4 Sr 0.2500 0.7500 0.5000
5 O 0.2038 0.6828 0.8867
6 Ta 0.5000 0.5000 0.0000
7 O 0.6828 0.7962 0.4790
8 O 0.7962 0.3172 0.1133
9 O 0.3172 0.2038 0.5210
10 Sr 0.7500 0.2500 0.5000

---

9.
An optimized crystal structure of Sr2TaInO6, computed with PBE.

Properties
Crystal system = monoclinic
Electronic total energy = -74.5 eV/cell

Lattice parameters (Å, degrees): 5.7429 5.7429 5.7920 120.05 120.05 60.07
Positions (direct):
1 In 0.0000 0.0000 0.0000
2 O 0.7384 0.7384 0.8201
3 O 0.3027 0.7870 0.3064
4 Sr 0.7495 0.7495 0.2593
5 Sr 0.2505 0.2505 0.7407
6 O 0.2130 0.6973 0.6936
7 O 0.6973 0.2130 0.6936
8 O 0.2616 0.2616 0.1799
9 O 0.7870 0.3027 0.3064
10 Ta 0.5000 0.5000 0.5000

---

10.
An optimized crystal structure of Sr2TaInO6, computed with PBE.

Properties
Crystal system = monoclinic
Electronic total energy = -149.0 eV/cell

Lattice parameters (Å, degrees): 5.7354 5.7719 9.9359 90.00 125.20 90.00
Positions (direct):
1 O 0.7387 0.2966 0.4624
2 O 0.8137 0.9820 0.2397
3 Sr 0.7442 0.5329 0.2505
4 O 0.2613 0.7034 0.5376
5 O 0.7387 0.2034 0.9624
6 Sr 0.7442 0.9671 0.7505
7 O 0.1863 0.4820 0.2603
8 O 0.6611 0.7769 0.4599
9 O 0.1863 0.0180 0.7603
10 Ta 0.5000 0.5000 0.5000
11 Ta 0.5000 0.0000 0.0000
12 Sr 0.2558 0.0329 0.2495
13 O 0.8137 0.5180 0.7397
14 In 0.0000 0.5000 0.0000
15 O 0.6611 0.7231 0.9599
16 O 0.2613 0.7966 0.0376
17 O 0.3389 0.2231 0.5401
18 Sr 0.2558 0.4671 0.7495
19 O 0.3389 0.2769 0.0401
20 In 0.0000 0.0000 0.5000

---

11.
An optimized crystal structure of TaInO, computed with PBE.

Properties
Crystal system = monoclinic
Electronic total energy = -43.8 eV/cell

Lattice parameters (Å, degrees): 5.7967 5.7967 4.9435 90.07 90.07 40.13
Positions (direct):
1 In 0.3365 0.3365 0.7727
2 O 0.4288 0.4288 0.2724
3 O 0.5713 0.5713 0.7733
4 Ta 0.0678 0.0678 0.7732
5 Ta 0.9322 0.9322 0.2726
6 In 0.6634 0.6634 0.2739

---

12.
An optimized crystal structure of Tb2In2O5, computed with PBE.

Properties
E above lowest polymorph = 0 meV per atom
Crystal system = tetragonal

Lattice parameters (Å, degrees): 8.6674 4.0533 4.0533 90.00 90.00 90.00
Positions (direct):
1 In 0.5000 0.0000 0.0000
2 O 0.5000 0.5000 0.5000
3 O 0.8482 0.5000 0.0000
4 O 0.1518 0.5000 0.0000
5 In 0.0000 0.0000 0.0000
6 O 0.8482 0.0000 0.5000
7 Tb 0.2457 0.5000 0.5000
8 O 0.1518 0.0000 0.5000
9 Tb 0.7543 0.5000 0.5000